Here is GePt2O4 after structural relaxation from OQMD. Energies are from PBE.

The structure in POSCAR format:
```
GePt2O4
1.0
1.026 -7.821 -0.370
-3.921 -4.909 1.517
0.263 -3.379 -5.003
Ge O Pt
2 8 4
direct
0.500 0.500 0.500
0.750 0.750 0.750
0.468 0.375 0.294
0.864 0.294 0.375
0.875 0.782 0.386
0.294 0.864 0.468
0.956 0.386 0.782
0.375 0.468 0.864
0.386 0.956 0.875
0.782 0.875 0.956
0.115 0.385 0.115
0.135 0.865 0.135
0.385 0.115 0.385
0.865 0.135 0.865
```

symmetry	Fddd (70)
total energy	-80.82	eV per cell